A plane-wave DFT calculation with GGA-PBE was carried out for a geometry-optimized Ho2ZrV structure.

Lattice parameters (Å, degrees): 3.2657 3.2657 32.9299 90.00 90.00 120.00
Atoms (fractional coordinates):
1 Ho 0.0000 0.0000 0.0852
2 Ho 0.0000 0.0000 0.9148
3 Ho 0.3333 0.6667 0.5815
4 Ho 0.3333 0.6667 0.7519
5 Ho 0.6667 0.3333 0.2481
6 Ho 0.6667 0.3333 0.4185
7 Zr 0.0000 0.0000 0.5000
8 Zr 0.3333 0.6667 0.1667
9 Zr 0.6667 0.3333 0.8333
10 V 0.0000 0.0000 0.0000
11 V 0.3333 0.6667 0.6667
12 V 0.6667 0.3333 0.3333

Output
DFT formation energy = 590 meV/atom
Total magnetization = 7.981 μB per cell
VASP energy = -6.12 eV per atom
Crystal system = trigonal
SG = No. 166


A plane-wave DFT calculation with GGA-PBE was carried out for a geometry-optimized HoW6 structure.

Lattice parameters (Å, degrees): 7.0699 7.0699 7.0699 90.00 90.00 90.00
Atoms (fractional coordinates):
1 Ho 0.0000 0.0000 0.0000
2 Ho 0.5000 0.5000 0.5000
3 W 0.0000 0.2500 0.5000
4 W 0.0000 0.5000 0.2500
5 W 0.0000 0.5000 0.7500
6 W 0.0000 0.7500 0.5000
7 W 0.2500 0.0000 0.5000
8 W 0.2500 0.5000 0.0000
9 W 0.5000 0.0000 0.2500
10 W 0.5000 0.0000 0.7500
11 W 0.5000 0.2500 0.0000
12 W 0.5000 0.7500 0.0000
13 W 0.7500 0.0000 0.5000
14 W 0.7500 0.5000 0.0000

Output
DFT formation energy = 1921 meV/atom
Total magnetization = 0.000 μB per cell
VASP energy = -9.84 eV per atom
Crystal system = cubic
SG = No. 229


A plane-wave DFT calculation with GGA-PBE was carried out for a geometry-optimized HoW4 structure.

Lattice parameters (Å, degrees): 4.6896 4.6896 4.6896 90.00 90.00 90.00
Atoms (fractional coordinates):
1 Ho 0.0000 0.0000 0.0000
2 W 0.0000 0.0000 0.5000
3 W 0.0000 0.5000 0.0000
4 W 0.5000 0.0000 0.0000
5 W 0.5000 0.5000 0.5000

Output
DFT formation energy = 3234 meV/atom
Total magnetization = 0.000 μB per cell
VASP energy = -8.04 eV per atom
Crystal system = cubic
SG = No. 221


A plane-wave DFT calculation with GGA-PBE was carried out for a geometry-optimized HoZrW4 structure.

Lattice parameters (Å, degrees): 5.4726 5.4726 5.4726 60.00 60.00 60.00
Atoms (fractional coordinates):
1 Ho 0.0000 0.0000 0.0000
2 Zr 0.7500 0.7500 0.7500
3 W 0.3748 0.3748 0.3748
4 W 0.3748 0.3748 0.8756
5 W 0.3748 0.8756 0.3748
6 W 0.8756 0.3748 0.3748

Output
DFT formation energy = 3 meV/atom
Total magnetization = 0.000 μB per cell
VASP energy = -10.82 eV per atom
Crystal system = cubic
SG = No. 216


A plane-wave DFT calculation with GGA-PBE was carried out for a geometry-optimized Y13Ho3 structure.

Lattice parameters (Å, degrees): 10.0526 7.1282 7.1282 90.00 90.00 90.00
Atoms (fractional coordinates):
1 Y 0.0000 0.0000 0.0000
2 Y 0.0000 0.9998 0.4986
3 Y 0.0000 0.4984 0.4984
4 Y 0.0000 0.4986 0.9998
5 Y 0.2505 0.2489 0.7496
6 Y 0.2505 0.7496 0.2489
7 Y 0.2507 0.7496 0.7496
8 Y 0.5000 0.0001 0.4983
9 Y 0.5000 0.4983 0.0001
10 Y 0.5000 0.4985 0.4985
11 Y 0.7495 0.2489 0.7496
12 Y 0.7495 0.7496 0.2489
13 Y 0.7493 0.7496 0.7496
14 Ho 0.2505 0.2488 0.2488
15 Ho 0.5000 0.0000 0.0000
16 Ho 0.7495 0.2488 0.2488

Output
DFT formation energy = 22 meV/atom
Total magnetization = 0.000 μB per cell
VASP energy = -6.09 eV per atom
Crystal system = orthorhombic
SG = No. 38


A plane-wave DFT calculation with GGA-PBE was carried out for a geometry-optimized YHo2 structure.

Lattice parameters (Å, degrees): 3.4530 5.7233 9.9409 90.00 90.00 90.00
Atoms (fractional coordinates):
1 Y 0.0000 0.0000 0.0000
2 Y 0.5000 0.5000 0.5000
3 Ho 0.0000 0.5000 0.1903
4 Ho 0.0000 0.5000 0.8097
5 Ho 0.5000 0.0000 0.3097
6 Ho 0.5000 0.0000 0.6903

Output
DFT formation energy = 199 meV/atom
Total magnetization = 0.000 μB per cell
VASP energy = -5.01 eV per atom
Crystal system = orthorhombic
SG = No. 71


- The highest total magnetization belongs to which entry?
  Ho2ZrV


- Number 3 is which compound?
  HoW4


- Which formula does entry 3 have?
  HoW4